# 1
Entry from the Alexandria database: a geometry-optimized Zr3PaHg2 structure (PBE).

abc: 3.575 3.575 10.503
angles: 90.00 90.00 90.00
Atoms (fractional coordinates):
Zr (0.000, 0.000, 0.000)
Zr (0.000, 0.000, 0.663)
Zr (0.000, 0.000, 0.337)
Pa (0.500, 0.500, 0.500)
Hg (0.500, 0.500, 0.830)
Hg (0.500, 0.500, 0.170)

Energy of formation from the pure elements: -3.8 kJ per mole of atoms

***

# 2
Entry from the Alexandria database: a geometry-optimized ZrPaHg2 structure (PBE).

abc: 4.662 4.452 4.452
angles: 90.00 90.00 90.00
Atoms (fractional coordinates):
Pa (0.500, 0.000, 0.000)
Hg (0.000, 0.000, 0.500)
Hg (0.000, 0.500, 0.000)
Zr (0.500, 0.500, 0.500)

Energy of formation from the pure elements: 2.6 kJ per mole of atoms
Energy relative to the lowest polymorph listed for this composition: 0.079 eV per atom

***

# 3
Entry from the Alexandria database: a geometry-optimized Hg2Pb structure (PBE).

abc: 5.278 5.278 5.278
angles: 81.94 124.76 124.76
Atoms (fractional coordinates):
Hg (0.500, 0.250, 0.750)
Hg (0.500, 0.750, 0.250)
Pb (0.000, 0.000, 0.000)

Energy of formation from the pure elements: 9.9 kJ per mole of atoms
Energy relative to the lowest polymorph listed for this composition: 0.076 eV per atom

***

# 4
Entry from the Alexandria database: a geometry-optimized HgPb structure (PBE).

abc: 8.369 8.369 8.369
angles: 90.00 90.00 90.00
Atoms (fractional coordinates):
Hg (0.250, 0.000, 0.500)
Hg (0.750, 0.000, 0.500)
Hg (0.000, 0.500, 0.250)
Hg (0.000, 0.500, 0.750)
Hg (0.500, 0.250, 0.000)
Hg (0.500, 0.750, 0.000)
Pb (0.250, 0.500, 0.000)
Pb (0.750, 0.500, 0.000)
Pb (0.500, 0.000, 0.250)
Pb (0.500, 0.000, 0.750)
Pb (0.000, 0.250, 0.500)
Pb (0.000, 0.750, 0.500)

Energy of formation from the pure elements: 33.4 kJ per mole of atoms

***

# 5
Entry from the Alexandria database: a geometry-optimized HgPb3 structure (PBE).

abc: 6.602 6.602 6.602
angles: 147.35 128.84 62.02
Atoms (fractional coordinates):
Pb (0.761, 0.261, 0.500)
Pb (0.500, 0.500, 0.000)
Pb (0.239, 0.739, 0.500)
Hg (0.000, 0.000, 0.000)

Energy of formation from the pure elements: 3.4 kJ per mole of atoms

***

# 6
Entry from the Alexandria database: a geometry-optimized Hg3Pb4 structure (PBE).

abc: 3.566 7.507 8.152
angles: 107.14 90.00 103.74
Atoms (fractional coordinates):
Hg (0.003, 0.006, 0.992)
Hg (0.712, 0.423, 0.157)
Hg (0.141, 0.282, 0.417)
Pb (0.438, 0.876, 0.281)
Pb (0.851, 0.702, 0.568)
Pb (0.574, 0.148, 0.714)
Pb (0.282, 0.563, 0.871)

Energy of formation from the pure elements: 2.6 kJ per mole of atoms
Energy relative to the lowest polymorph listed for this composition: 0.000 eV per atom

***

# 7
Entry from the Alexandria database: a geometry-optimized HgPb structure (PBE).

abc: 11.969 11.969 3.296
angles: 90.00 90.00 90.00
Atoms (fractional coordinates):
Hg (0.411, 0.861, 0.000)
Hg (0.589, 0.139, 0.000)
Hg (0.139, 0.411, 0.000)
Hg (0.861, 0.589, 0.000)
Hg (0.911, 0.361, 0.500)
Hg (0.089, 0.639, 0.500)
Hg (0.639, 0.911, 0.500)
Hg (0.361, 0.089, 0.500)
Pb (0.391, 0.332, 0.000)
Pb (0.609, 0.668, 0.000)
Pb (0.668, 0.391, 0.000)
Pb (0.332, 0.609, 0.000)
Pb (0.891, 0.832, 0.500)
Pb (0.109, 0.168, 0.500)
Pb (0.168, 0.891, 0.500)
Pb (0.832, 0.109, 0.500)

Energy of formation from the pure elements: 10.0 kJ per mole of atoms

***

# 8
Entry from the Alexandria database: a geometry-optimized HgPb structure (PBE).

abc: 9.520 9.520 9.520
angles: 90.00 90.00 90.00
Atoms (fractional coordinates):
Hg (0.195, 0.195, 0.195)
Hg (0.195, 0.805, 0.805)
Hg (0.805, 0.195, 0.805)
Hg (0.805, 0.805, 0.195)
Hg (0.695, 0.695, 0.695)
Hg (0.695, 0.305, 0.305)
Hg (0.305, 0.695, 0.305)
Hg (0.305, 0.305, 0.695)
Pb (0.376, 0.376, 0.376)
Pb (0.376, 0.624, 0.624)
Pb (0.624, 0.376, 0.624)
Pb (0.624, 0.624, 0.376)
Pb (0.876, 0.876, 0.876)
Pb (0.876, 0.124, 0.124)
Pb (0.124, 0.876, 0.124)
Pb (0.124, 0.124, 0.876)

Energy of formation from the pure elements: 24.1 kJ per mole of atoms